The following is a DFT calculation (PBE) of a relaxed CoPt4Pb crystal.

Results
E_tot, eV per atom: -5.643
Formation energy from the elements, eV per atom: 0.187

Cell: 5.355 5.355 5.355 Å, 60.00 60.00 60.00°
Element x y z (fractional)
Pt1 0.874 0.375 0.375
Pb1 0.000 0.000 0.000
Pt2 0.375 0.375 0.375
Co1 0.750 0.750 0.750
Pt3 0.375 0.375 0.874
Pt4 0.375 0.874 0.375

=====

The following is a DFT calculation (PBE) of a relaxed Co4PtPb crystal.

Results
E_tot, eV per atom: -6.090
Formation energy from the elements, eV per atom: 0.273

Cell: 4.899 4.899 4.899 Å, 60.00 60.00 60.00°
Element x y z (fractional)
Co1 0.878 0.374 0.374
Co2 0.374 0.374 0.878
Pt1 0.000 0.000 0.000
Pb1 0.750 0.750 0.750
Co3 0.374 0.374 0.374
Co4 0.374 0.878 0.374

=====

The following is a DFT calculation (PBE) of a relaxed Co3PtPb crystal.

Results
Polymorph energy (0 for the lowest one), eV per formula unit: 0.000
E_tot, eV per atom: -5.234
Formation energy from the elements, eV per atom: 0.980

Cell: 4.674 4.674 4.674 Å, 90.00 90.00 90.00°
Element x y z (fractional)
Co1 0.500 0.000 0.000
Co2 0.000 0.500 0.000
Co3 0.000 0.000 0.500
Pb1 0.500 0.500 0.500
Pt1 0.000 0.000 0.000

=====

The following is a DFT calculation (PBE) of a relaxed Co3PtPb crystal.

Results
Polymorph energy (0 for the lowest one), eV per formula unit: 4.312
E_tot, eV per atom: -4.371
Formation energy from the elements, eV per atom: 1.842

Cell: 4.696 4.696 4.696 Å, 90.00 90.00 90.00°
Element x y z (fractional)
Co1 0.000 0.500 0.000
Pb1 0.000 0.000 0.000
Pt1 0.500 0.500 0.500
Co2 0.500 0.000 0.000
Co3 0.000 0.000 0.500

=====

The following is a DFT calculation (PBE) of a relaxed CoPt3Pb crystal.

Results
Polymorph energy (0 for the lowest one), eV per formula unit: 5.389
E_tot, eV per atom: -4.123
Formation energy from the elements, eV per atom: 1.664

Cell: 5.030 5.030 5.030 Å, 90.00 90.00 90.00°
Element x y z (fractional)
Pb1 0.000 0.000 0.000
Pt1 0.000 0.500 0.000
Pt2 0.000 0.000 0.500
Pt3 0.500 0.000 0.000
Co1 0.500 0.500 0.500

=====

The following is a DFT calculation (PBE) of a relaxed CoPtPb3 crystal.

Results
Polymorph energy (0 for the lowest one), eV per formula unit: 0.000
E_tot, eV per atom: -4.477
Formation energy from the elements, eV per atom: 0.378

Cell: 4.981 4.981 4.981 Å, 90.00 90.00 90.00°
Element x y z (fractional)
Pb1 0.000 0.000 0.500
Pt1 0.500 0.500 0.500
Pb2 0.000 0.500 0.000
Co1 0.000 0.000 0.000
Pb3 0.500 0.000 0.000

=====

The following is a DFT calculation (PBE) of a relaxed Co2RuPtPb crystal.

Results
E_tot, eV per atom: -5.353
Formation energy from the elements, eV per atom: 1.295

Cell: 4.504 5.100 4.504 Å, 90.00 90.00 90.00°
Element x y z (fractional)
Pt1 0.500 0.500 0.500
Ru1 0.000 0.000 0.000
Co1 0.000 0.000 0.500
Pb1 0.000 0.500 0.000
Co2 0.500 0.000 0.000

=====

The following is a DFT calculation (PBE) of a relaxed Co2PtPbS crystal.

Results
E_tot, eV per atom: -3.933

Cell: 4.851 5.069 4.851 Å, 90.00 90.00 90.00°
Element x y z (fractional)
S1 0.500 0.500 0.500
Pt1 0.000 0.500 0.000
Pb1 0.000 0.000 0.000
Co1 0.000 0.000 0.500
Co2 0.500 0.000 0.000

=====

The following is a DFT calculation (PBE) of a relaxed ScCo2PtPb crystal.

Results
E_tot, eV per atom: -5.334
Formation energy from the elements, eV per atom: 0.725

Cell: 4.698 5.120 4.698 Å, 90.00 90.00 90.00°
Element x y z (fractional)
Sc1 0.500 0.500 0.500
Co1 0.500 0.000 0.000
Pb1 0.000 0.500 0.000
Co2 0.000 0.000 0.500
Pt1 0.000 0.000 0.000

=====

The following is a DFT calculation (PBE) of a relaxed ScCoPtPb2 crystal.

Results
E_tot, eV per atom: -5.272
Formation energy from the elements, eV per atom: 0.107

Cell: 4.916 4.639 4.916 Å, 90.00 90.00 90.00°
Element x y z (fractional)
Co1 0.000 0.000 0.000
Pb1 0.000 0.000 0.500
Pt1 0.500 0.500 0.500
Pb2 0.500 0.000 0.000
Sc1 0.000 0.500 0.000

=====

The following is a DFT calculation (PBE) of a relaxed CoSiPt2Pb crystal.

Results
E_tot, eV per atom: -4.180

Cell: 5.068 4.785 5.068 Å, 90.00 90.00 90.00°
Element x y z (fractional)
Pb1 0.000 0.000 0.000
Co1 0.000 0.500 0.000
Pt1 0.500 0.000 0.000
Si1 0.500 0.500 0.500
Pt2 0.000 0.000 0.500

=====

The following is a DFT calculation (PBE) of a relaxed VCoPt2Pb crystal.

Results
E_tot, eV per atom: -5.814
Formation energy from the elements, eV per atom: 0.589

Cell: 4.812 4.239 4.812 Å, 90.00 90.00 90.00°
Element x y z (fractional)
V1 0.000 0.000 0.000
Pt1 0.000 0.000 0.500
Co1 0.000 0.500 0.000
Pb1 0.500 0.500 0.500
Pt2 0.500 0.000 0.000